# PmBr3 (GGA-PBEsol, relaxed)
data_PmBr3
_cell_length_a 9.9748
_cell_length_b 9.9748
_cell_length_c 3.8187
_cell_angle_alpha 90.00
_cell_angle_beta 90.00
_cell_angle_gamma 120.00
_symmetry_space_group_name_H-M 'P 63/m m c'
_symmetry_Int_Tables_number 194
_symmetry_space_group_name_Hall '-P 6c 2c'
loop_
_atom_site_label
_atom_site_type_symbol
_atom_site_fract_x
_atom_site_fract_y
_atom_site_fract_z
Pm1 Pm 0.3333 0.6667 0.2500
Br1 Br 0.2098 0.4195 0.7500
# Crystal system: hexagonal



# PmBr2 (GGA-PBEsol, relaxed)
data_PmBr2
_cell_length_a 7.3424
_cell_length_b 7.3424
_cell_length_c 3.6668
_cell_angle_alpha 90.00
_cell_angle_beta 90.00
_cell_angle_gamma 90.00
_symmetry_space_group_name_H-M 'P 42/m n m'
_symmetry_Int_Tables_number 136
_symmetry_space_group_name_Hall '-P 4n 2n'
loop_
_atom_site_label
_atom_site_type_symbol
_atom_site_fract_x
_atom_site_fract_y
_atom_site_fract_z
Pm1 Pm 0.0000 0.0000 0.0000
Br1 Br 0.2192 0.2192 0.5000
# Crystal system: tetragonal



# Pr2Br5 (GGA-PBEsol, relaxed)
data_Pr2Br5
_cell_length_a 7.7752
_cell_length_b 4.1261
_cell_length_c 13.3060
_cell_angle_alpha 90.00
_cell_angle_beta 90.63
_cell_angle_gamma 90.00
_symmetry_space_group_name_H-M 'P 1 21/m 1'
_symmetry_Int_Tables_number 11
_symmetry_space_group_name_Hall '-P 2yb'
loop_
_atom_site_label
_atom_site_type_symbol
_atom_site_fract_x
_atom_site_fract_y
_atom_site_fract_z
Pr1 Pr 0.0726 0.2500 0.3392
Pr2 Pr 0.4255 0.7500 0.1582
Br1 Br 0.0448 0.7500 0.1774
Br2 Br 0.1532 0.2500 0.5677
Br3 Br 0.3070 0.2500 0.0104
Br4 Br 0.3299 0.7500 0.7706
Br5 Br 0.3467 0.7500 0.3777
# Crystal system: monoclinic



# Pt2Br (GGA-PBEsol, relaxed)
data_Pt2Br
_cell_length_a 3.5821
_cell_length_b 3.5821
_cell_length_c 9.2003
_cell_angle_alpha 90.00
_cell_angle_beta 90.00
_cell_angle_gamma 90.00
_symmetry_space_group_name_H-M 'I 4/m m m'
_symmetry_Int_Tables_number 139
_symmetry_space_group_name_Hall '-I 4 2'
loop_
_atom_site_label
_atom_site_type_symbol
_atom_site_fract_x
_atom_site_fract_y
_atom_site_fract_z
Pt1 Pt 0.0000 0.0000 0.2223
Br1 Br 0.0000 0.0000 0.5000
# ΔE to the lowest computed polymorph (meV per atom): 152
# Crystal system: tetragonal



# Pt2Br (GGA-PBEsol, relaxed)
data_Pt2Br
_cell_length_a 6.0789
_cell_length_b 6.0789
_cell_length_c 6.0789
_cell_angle_alpha 90.00
_cell_angle_beta 90.00
_cell_angle_gamma 90.00
_symmetry_space_group_name_H-M 'F m -3 m'
_symmetry_Int_Tables_number 225
_symmetry_space_group_name_Hall '-F 4 2 3'
loop_
_atom_site_label
_atom_site_type_symbol
_atom_site_fract_x
_atom_site_fract_y
_atom_site_fract_z
Pt1 Pt 0.2500 0.2500 0.2500
Br1 Br 0.0000 0.0000 0.0000
# ΔE to the lowest computed polymorph (meV per atom): 654
# Crystal system: cubic



# Pt2Br (GGA-PBEsol, relaxed)
data_Pt2Br
_cell_length_a 4.5897
_cell_length_b 4.5897
_cell_length_c 2.8417
_cell_angle_alpha 90.00
_cell_angle_beta 90.00
_cell_angle_gamma 120.00
_symmetry_space_group_name_H-M 'P 6/m m m'
_symmetry_Int_Tables_number 191
_symmetry_space_group_name_Hall '-P 6 2'
loop_
_atom_site_label
_atom_site_type_symbol
_atom_site_fract_x
_atom_site_fract_y
_atom_site_fract_z
Pt1 Pt 0.3333 0.6667 0.0000
Br1 Br 0.0000 0.0000 0.5000
# ΔE to the lowest computed polymorph (meV per atom): 382
# Crystal system: hexagonal



For the records above, the corresponding energy relative to the elements, uncorrected values read -1797; -1586; -1838; 589; 1091; 819 meV per atom.
For the records above, the corresponding final energy values read -17.9; -13.6; -32.6; -14.0; -12.5; -13.3 eV/f.u..